1.
A plane-wave DFT calculation with PBE-GGA was carried out for Sm6Mg2C after structural relaxation.

Cell lengths 7.1880, 7.1891, 10.1451 Å; angles 90.00, 90.01, 90.00 degrees
Element x y z (fractional)
Sm: 0.2427 0.2423 0.4988
Sm: 0.9977 0.0002 0.2567
Sm: 0.0023 0.9998 0.7433
Sm: 0.5023 0.5002 0.2433
Mg: 0.0001 0.4999 0.7498
Sm: 0.7575 0.2426 0.5012
Sm: 0.7427 0.2577 0.9988
Mg: 0.4999 0.9999 0.7502
C: 0.5000 0.5000 0.0000
C: 0.0000 0.0000 0.5000
Sm: 0.7573 0.7577 0.5012
Sm: 0.4977 0.4998 0.7567
Mg: 0.9999 0.5001 0.2502
Mg: 0.5001 0.0001 0.2498
Sm: 0.7425 0.7426 0.9988
Sm: 0.2575 0.2574 0.0012
Sm: 0.2425 0.7574 0.4988
Sm: 0.2573 0.7423 0.0012

Properties
Electronic total energy: -4.586 eV per atom
Total moment: 0.14 μB per atom

---

2.
A plane-wave DFT calculation with PBE-GGA was carried out for DyY4Cu5 after structural relaxation.

Cell lengths 3.4607, 3.4607, 17.5697 Å; angles 90.00, 90.00, 90.00 degrees
Element x y z (fractional)
Dy: 0.0000 0.0000 0.0000
Y: 0.0000 0.0000 0.8006
Cu: 0.5000 0.5000 0.9016
Y: 0.0000 0.0000 0.3998
Y: 0.0000 0.0000 0.6002
Cu: 0.5000 0.5000 0.0984
Cu: 0.5000 0.5000 0.5000
Cu: 0.5000 0.5000 0.7002
Cu: 0.5000 0.5000 0.2998
Y: 0.0000 0.0000 0.1994

Properties
Electronic total energy: -5.342 eV per atom
Total moment: 0.00 μB per atom

---

3.
A plane-wave DFT calculation with PBE-GGA was carried out for MgTi2In after structural relaxation.

Cell lengths 4.3670, 4.1594, 4.1594 Å; angles 90.00, 90.00, 90.00 degrees
Element x y z (fractional)
Ti: 0.0000 0.0000 0.5000
Ti: 0.0000 0.5000 0.0000
In: 0.5000 0.5000 0.5000
Mg: 0.5000 0.0000 0.0000

Properties
Electronic total energy: -5.068 eV per atom
Total moment: 0.13 μB per atom